Density functional theory data (GGA+U) for Li3Co2PtO6 after structural relaxation. Values from VASP.

- total moment (μB/cell) = 1.01
- energy (eV per cell) = -66.1

The structure in Quantum ESPRESSO input format:
```
&SYSTEM
  ibrav = 0, nat = 12, ntyp = 4
/
ATOMIC_SPECIES
Pt 195.08 Pt.upf
Co 58.93 Co.upf
Li 6.94 Li.upf
O 16.00 O.upf
ATOMIC_POSITIONS angstrom
Pt 0.000 0.000 0.000
Co 0.062 2.998 -0.067
Co 2.566 1.552 -0.067
Li 0.845 1.463 2.342
Li -1.713 2.940 2.342
Li 3.403 -0.014 2.342
O 0.048 0.083 3.621
O 2.536 1.343 3.686
O -0.846 1.584 0.997
O 1.642 2.843 1.062
O -0.104 2.867 3.686
O 1.794 0.059 0.997
CELL_PARAMETERS angstrom
5.101 0.088 -0.067
-2.473 4.462 -0.067
-0.938 -1.624 4.817
```